! Sm4SbTe2As | Alexandria via LeMat-Bulk | GGA-PBE | relaxed; values from VASP
&SYSTEM
  ibrav = 0, nat = 8, ntyp = 4
/
ATOMIC_SPECIES
Sm 150.36 Sm.upf
Te 127.60 Te.upf
Sb 121.76 Sb.upf
As 74.92 As.upf
CELL_PARAMETERS angstrom
4.3734 0.0000 0.0000
0.0000 7.6870 -0.1867
0.0000 2.6718 7.1187
ATOMIC_POSITIONS crystal
Sm 0.0000 0.2681 0.2559
Sm 0.5000 0.7248 0.2692
Sm 0.0000 0.7319 0.7441
Sm 0.5000 0.2752 0.7308
Te 0.0000 0.0000 0.0000
Te 0.5000 0.0000 0.5000
Sb 0.5000 0.5000 0.0000
As 0.0000 0.5000 0.5000
! * SG: P2/m, No. 10
! * formation energy without anion corrections: -1417.6 meV/atom
! * calculated total energy: -45.27 eV/cell
! * total magnetic moment: 0.00 μB/cell

! ScTlGeSe4 | Alexandria via LeMat-Bulk | GGA-PBE | relaxed; values from VASP
&SYSTEM
  ibrav = 0, nat = 14, ntyp = 4
/
ATOMIC_SPECIES
Tl 204.38 Tl.upf
Ge 72.64 Ge.upf
Sc 44.96 Sc.upf
Se 78.96 Se.upf
CELL_PARAMETERS angstrom
6.5642 0.0000 -0.0519
0.0000 7.0012 0.0000
-2.6426 0.0000 8.5259
ATOMIC_POSITIONS crystal
Tl 0.7691 0.7500 0.9448
Tl 0.2309 0.2500 0.0552
Ge 0.2349 0.7500 0.3362
Ge 0.7651 0.2500 0.6638
Sc 0.7798 0.7500 0.4490
Sc 0.2202 0.2500 0.5510
Se 0.9849 0.4913 0.2983
Se 0.4484 0.7500 0.1679
Se 0.5516 0.2500 0.8321
Se 0.5270 0.2500 0.4070
Se 0.0151 0.9913 0.7017
Se 0.9849 0.0087 0.2983
Se 0.0151 0.5087 0.7017
Se 0.4730 0.7500 0.5930
! * SG: P2_1/m, No. 11
! * formation energy without anion corrections: -773.2 meV/atom
! * calculated total energy: -65.33 eV/cell
! * total magnetic moment: 0.00 μB/cell

! Sc2Pt2O | Alexandria via LeMat-Bulk | GGA-PBE | relaxed; values from VASP
&SYSTEM
  ibrav = 0, nat = 5, ntyp = 3
/
ATOMIC_SPECIES
Sc 44.96 Sc.upf
O 16.00 O.upf
Pt 195.08 Pt.upf
CELL_PARAMETERS angstrom
-1.8052 -4.1141 1.1361
-0.4303 -1.0519 -4.4926
3.3539 -4.5370 -1.6491
ATOMIC_POSITIONS crystal
Sc 0.7500 0.2500 0.5000
Sc 0.2500 0.7500 0.5000
O 0.0000 0.0000 0.0000
Pt 0.6285 0.6285 0.7429
Pt 0.3715 0.3715 0.2571
! * SG: I4/mmm, No. 139
! * formation energy without anion corrections: -485.5 meV/atom
! * calculated total energy: -32.13 eV/cell
! * total magnetic moment: 0.00 μB/cell
! * energy relative to the lowest polymorph listed for this composition: 0.310 eV per atom

! ZnSb5 | Alexandria via LeMat-Bulk | GGA-PBE | relaxed; values from VASP
&SYSTEM
  ibrav = 0, nat = 6, ntyp = 2
/
ATOMIC_SPECIES
Sb 121.76 Sb.upf
Zn 65.41 Zn.upf
CELL_PARAMETERS angstrom
-0.7584 -5.9502 -1.6931
1.1660 -4.5718 4.0725
-4.7006 -3.3387 2.3672
ATOMIC_POSITIONS crystal
Sb 0.6252 0.6252 0.6252
Sb 0.6252 0.1245 0.6252
Sb 0.6252 0.6252 0.1245
Sb 0.1245 0.6252 0.6252
Sb 0.2500 0.2500 0.2500
Zn 0.0000 0.0000 0.0000
! * SG: F-43m, No. 216
! * formation energy without anion corrections: 438.1 meV/atom
! * calculated total energy: -19.26 eV/cell
! * total magnetic moment: 0.00 μB/cell
! * energy relative to the lowest polymorph listed for this composition: 0.293 eV per atom

! Rb2VCr | Alexandria via LeMat-Bulk | GGA-PBE | relaxed; values from VASP
&SYSTEM
  ibrav = 0, nat = 8, ntyp = 3
/
ATOMIC_SPECIES
Rb 85.47 Rb.upf
Cr 52.00 Cr.upf
V 50.94 V.upf
CELL_PARAMETERS angstrom
13.3605 0.0000 0.0000
0.0000 13.3605 0.0000
6.6802 6.6802 2.3376
ATOMIC_POSITIONS crystal
Rb 0.7968 0.1250 0.2500
Rb 0.8750 0.0468 0.7500
Rb 0.9532 0.6250 0.2500
Rb 0.3750 0.2032 0.7500
Cr 0.0000 0.0000 0.0000
Cr 0.7500 0.2500 0.5000
V 0.5000 0.5000 0.0000
V 0.2500 0.7500 0.5000
! * SG: I-42d, No. 122
! * calculated total energy: -31.02 eV/cell
! * total magnetic moment: 1.13 μB/cell
! * DFT formation energy: 5.2 eV/f.u.

! LiY3Np3Te8 | Alexandria via LeMat-Bulk | GGA-PBE | relaxed; values from VASP
&SYSTEM
  ibrav = 0, nat = 15, ntyp = 4
/
ATOMIC_SPECIES
Y 88.91 Y.upf
Te 127.60 Te.upf
Np 237.00 Np.upf
Li 6.94 Li.upf
CELL_PARAMETERS angstrom
-5.8298 -2.9936 5.7477
1.4371 -4.3480 -7.4169
6.1103 0.0989 6.2489
ATOMIC_POSITIONS crystal
Y 0.0000 0.0000 0.0000
Y 0.5000 0.5000 0.0000
Y 0.0000 0.5000 0.0000
Te 0.2495 0.0018 0.7513
Te 0.2476 0.9982 0.2487
Te 0.7524 0.0018 0.7513
Te 0.7505 0.9982 0.2487
Te 0.2492 0.4984 0.7511
Te 0.7508 0.5016 0.7524
Te 0.2492 0.4984 0.2476
Te 0.7508 0.5016 0.2489
Np 0.5000 0.0000 0.5000
Np 0.0000 0.5000 0.5000
Np 0.5000 0.5000 0.5000
Li 0.0000 0.0000 0.5000
! * SG: R-3m, No. 166
! * formation energy without anion corrections: -990.5 meV/atom
! * calculated total energy: -100.12 eV/cell
! * total magnetic moment: 13.33 μB/cell

! MgRhSCl2 | Alexandria via LeMat-Bulk | GGA-PBE | relaxed; values from VASP
&SYSTEM
  ibrav = 0, nat = 5, ntyp = 4
/
ATOMIC_SPECIES
Rh 102.91 Rh.upf
Cl 35.45 Cl.upf
S 32.06 S.upf
Mg 24.30 Mg.upf
CELL_PARAMETERS angstrom
4.7280 0.0000 0.0000
0.0000 4.7280 0.0000
0.0000 0.0000 4.7875
ATOMIC_POSITIONS crystal
Rh 0.0000 0.0000 0.0000
Cl 0.0000 0.5000 0.0000
Cl 0.5000 0.0000 0.0000
S 0.0000 0.0000 0.5000
Mg 0.5000 0.5000 0.5000
! * SG: P4/mmm, No. 123
! * formation energy without anion corrections: -312.9 meV/atom
! * calculated total energy: -18.33 eV/cell
! * total magnetic moment: 0.00 μB/cell
! * energy relative to the lowest polymorph listed for this composition: 0.000 eV per atom

! Pr3Nd7Tm2 | Alexandria via LeMat-Bulk | GGA-PBE | relaxed; values from VASP
&SYSTEM
  ibrav = 0, nat = 12, ntyp = 3
/
ATOMIC_SPECIES
Nd 144.24 Nd.upf
Tm 168.93 Tm.upf
Pr 140.91 Pr.upf
CELL_PARAMETERS angstrom
3.6358 0.0000 0.0000
0.0000 5.9729 0.2890
0.0000 -1.9861 19.2247
ATOMIC_POSITIONS crystal
Nd 0.5000 0.8108 0.8177
Nd 0.5000 0.1892 0.1823
Nd 0.5000 0.2567 0.5355
Nd 0.0000 0.0000 0.0000
Nd 0.5000 0.7433 0.4645
Nd 0.0000 0.6875 0.1463
Nd 0.0000 0.3125 0.8537
Tm 0.5000 0.7113 0.2955
Tm 0.5000 0.2887 0.7045
Pr 0.5000 0.5000 0.0000
Pr 0.0000 0.2198 0.3657
Pr 0.0000 0.7802 0.6343
! * SG: P2/m, No. 10
! * calculated total energy: -55.59 eV/cell
! * total magnetic moment: 0.00 μB/cell
! * DFT formation energy: 1.1 eV/f.u.
! * energy relative to the lowest polymorph listed for this composition: 0.000 eV per atom

! Tb2NdHo5Th | Alexandria via LeMat-Bulk | GGA-PBE | relaxed; values from VASP
&SYSTEM
  ibrav = 0, nat = 18, ntyp = 4
/
ATOMIC_SPECIES
Tb 158.93 Tb.upf
Ho 164.93 Ho.upf
Nd 144.24 Nd.upf
Th 232.04 Th.upf
CELL_PARAMETERS angstrom
5.6386 0.0000 0.0000
-2.8193 10.0785 0.0000
0.0000 0.0000 10.3103
ATOMIC_POSITIONS crystal
Tb 0.1123 0.2247 0.3201
Tb 0.8877 0.7753 0.8201
Tb 0.8838 0.7676 0.2287
Tb 0.1162 0.2324 0.7287
Ho 0.9833 0.9667 0.5223
Ho 0.2987 0.5973 0.7101
Ho 0.7264 0.4528 0.8206
Ho 0.3874 0.7748 0.0256
Ho 0.5230 0.0459 0.2365
Ho 0.6126 0.2252 0.5256
Ho 0.2736 0.5472 0.3206
Ho 0.0167 0.0333 0.0223
Ho 0.4770 0.9541 0.7365
Ho 0.7013 0.4027 0.2101
Nd 0.4110 0.8219 0.4430
Nd 0.5890 0.1781 0.9430
Th 0.8011 0.6022 0.5170
Th 0.1989 0.3978 0.0170
! * SG: Cmc2_1, No. 36
! * calculated total energy: -85.67 eV/cell
! * total magnetic moment: 0.00 μB/cell
! * DFT formation energy: 1.5 eV/f.u.

! ErGaIr2 | Alexandria via LeMat-Bulk | GGA-PBE | relaxed; values from VASP
&SYSTEM
  ibrav = 0, nat = 16, ntyp = 3
/
ATOMIC_SPECIES
Ga 69.72 Ga.upf
Ir 192.22 Ir.upf
Er 167.26 Er.upf
CELL_PARAMETERS angstrom
-3.2413 -3.1621 -5.7911
0.5081 -5.0411 2.4682
-7.5232 1.0284 3.6493
ATOMIC_POSITIONS crystal
Ga 0.5000 0.7500 0.7328
Ga 0.5000 0.2500 0.2672
Ga 0.0000 0.7500 0.7377
Ga 0.0000 0.2500 0.2623
Ir 0.2979 0.2500 0.0388
Ir 0.2979 0.7500 0.9612
Ir 0.5000 0.0000 0.5000
Ir 0.5000 0.5000 0.5000
Ir 0.7021 0.7500 0.9612
Ir 0.0000 0.5000 0.0000
Ir 0.0000 0.0000 0.0000
Ir 0.7021 0.2500 0.0388
Er 0.0000 0.2500 0.6891
Er 0.5000 0.7500 0.2184
Er 0.5000 0.2500 0.7816
Er 0.0000 0.7500 0.3109
! * SG: Pmma, No. 51
! * calculated total energy: -102.34 eV/cell
! * total magnetic moment: 0.06 μB/cell
! * DFT formation energy: -0.3 eV/f.u.

! Cd2P3 | Alexandria via LeMat-Bulk | GGA-PBE | relaxed; values from VASP
&SYSTEM
  ibrav = 0, nat = 5, ntyp = 2
/
ATOMIC_SPECIES
Cd 112.41 Cd.upf
P 30.97 P.upf
CELL_PARAMETERS angstrom
8.3908 -1.8550 -0.0089
8.3908 1.8550 -0.0089
7.9841 0.0000 3.1783
ATOMIC_POSITIONS crystal
Cd 0.3969 0.3969 0.3969
Cd 0.6031 0.6031 0.6031
P 0.8112 0.8112 0.8112
P 0.1888 0.1888 0.1888
P 0.0000 0.0000 0.0000
! * SG: R-3m, No. 166
! * calculated total energy: -16.99 eV/cell
! * total magnetic moment: 0.00 μB/cell
! * DFT formation energy: 1.1 eV/f.u.
! * energy relative to the lowest polymorph listed for this composition: 0.059 eV per atom

! CrFe4Co | Alexandria via LeMat-Bulk | GGA-PBE | relaxed; values from VASP
&SYSTEM
  ibrav = 0, nat = 12, ntyp = 3
/
ATOMIC_SPECIES
Fe 55.84 Fe.upf
Co 58.93 Co.upf
Cr 52.00 Cr.upf
CELL_PARAMETERS angstrom
-1.9741 -0.4927 3.4411
3.0023 1.7522 1.9733
-3.2576 8.2939 1.6407
ATOMIC_POSITIONS crystal
Fe 0.1672 0.1666 0.1661
Fe 0.5816 0.0815 0.3341
Fe 0.3332 0.3329 0.8339
Fe 0.9157 0.4159 0.6659
Fe 0.0843 0.5841 0.3341
Fe 0.4184 0.9185 0.6659
Fe 0.8328 0.8334 0.8339
Fe 0.6668 0.6671 0.1661
Co 0.7504 0.2504 0.0000
Co 0.2496 0.7496 0.0000
Cr 0.0000 0.0000 0.5000
Cr 0.5000 0.5000 0.5000
! * SG: Fmmm, No. 69
! * calculated total energy: -100.95 eV/cell
! * total magnetic moment: 21.11 μB/cell
! * DFT formation energy: 0.1 eV/f.u.
! * energy relative to the lowest polymorph listed for this composition: 0.000 eV per atom

! In2HRh2 | Alexandria via LeMat-Bulk | GGA-PBE | relaxed; values from VASP
&SYSTEM
  ibrav = 0, nat = 10, ntyp = 3
/
ATOMIC_SPECIES
In 114.82 In.upf
H 1.01 H.upf
Rh 102.91 Rh.upf
CELL_PARAMETERS angstrom
5.9722 0.0000 0.0000
0.0000 5.9722 0.0000
0.0000 0.0000 4.3571
ATOMIC_POSITIONS crystal
In 0.1627 0.6627 0.5000
In 0.6627 0.8373 0.5000
In 0.8373 0.3373 0.5000
In 0.3373 0.1627 0.5000
H 0.0000 0.0000 0.0000
H 0.5000 0.5000 0.0000
Rh 0.1640 0.3360 0.0000
Rh 0.3360 0.8360 0.0000
Rh 0.6640 0.1640 0.0000
Rh 0.8360 0.6640 0.0000
! * SG: P4/mbm, No. 127
! * calculated total energy: -47.28 eV/cell
! * total magnetic moment: 0.00 μB/cell

! Na3SrSe | Alexandria via LeMat-Bulk | GGA-PBE | relaxed; values from VASP
&SYSTEM
  ibrav = 0, nat = 5, ntyp = 3
/
ATOMIC_SPECIES
Na 22.99 Na.upf
Se 78.96 Se.upf
Sr 87.62 Sr.upf
CELL_PARAMETERS angstrom
6.4273 0.0000 0.0000
0.0000 6.4273 0.0000
0.0000 0.0000 6.4273
ATOMIC_POSITIONS crystal
Na 0.0000 0.0000 0.5000
Na 0.0000 0.5000 0.0000
Na 0.5000 0.0000 0.0000
Se 0.5000 0.5000 0.5000
Sr 0.0000 0.0000 0.0000
! * SG: Pm-3m, No. 221
! * formation energy without anion corrections: 658.4 meV/atom
! * calculated total energy: -5.83 eV/cell
! * total magnetic moment: 0.82 μB/cell
! * energy relative to the lowest polymorph listed for this composition: 1.038 eV per atom

! FePS2Cl | Alexandria via LeMat-Bulk | GGA-PBE | relaxed; values from VASP
&SYSTEM
  ibrav = 0, nat = 5, ntyp = 4
/
ATOMIC_SPECIES
P 30.97 P.upf
S 32.06 S.upf
Cl 35.45 Cl.upf
Fe 55.84 Fe.upf
CELL_PARAMETERS angstrom
-3.9329 0.4071 1.9305
-1.2749 -3.8101 -1.7939
1.5319 -2.2005 3.5850
ATOMIC_POSITIONS crystal
P 0.5000 0.5000 0.5000
S 0.0000 0.5000 0.0000
S 0.5000 0.0000 0.0000
Cl 0.0000 0.0000 0.5000
Fe 0.0000 0.0000 0.0000
! * SG: P4/mmm, No. 123
! * formation energy without anion corrections: 588.9 meV/atom
! * calculated total energy: -21.03 eV/cell
! * total magnetic moment: 0.00 μB/cell
! * energy relative to the lowest polymorph listed for this composition: 0.123 eV per atom

! AgRu2Br | Alexandria via LeMat-Bulk | GGA-PBE | relaxed; values from VASP
&SYSTEM
  ibrav = 0, nat = 4, ntyp = 3
/
ATOMIC_SPECIES
Ru 101.07 Ru.upf
Ag 107.87 Ag.upf
Br 79.90 Br.upf
CELL_PARAMETERS angstrom
9.6155 -0.0102 -0.0060
9.1791 2.8638 -0.0060
9.1791 1.3937 2.5018
ATOMIC_POSITIONS crystal
Ru 0.2588 0.2588 0.2588
Ru 0.9932 0.9932 0.9932
Ag 0.5082 0.5082 0.5082
Br 0.7398 0.7398 0.7398
! * SG: R3m, No. 160
! * formation energy without anion corrections: 502.5 meV/atom
! * calculated total energy: -21.07 eV/cell
! * total magnetic moment: 0.00 μB/cell
! * energy relative to the lowest polymorph listed for this composition: 0.088 eV per atom

! Ac2PmTe4 | Alexandria via LeMat-Bulk | GGA-PBE | relaxed; values from VASP
&SYSTEM
  ibrav = 0, nat = 14, ntyp = 3
/
ATOMIC_SPECIES
Te 127.60 Te.upf
Ac 227.00 Ac.upf
Pm 145.00 Pm.upf
CELL_PARAMETERS angstrom
-3.4474 1.9620 2.0345
-2.1323 -7.8012 -0.9739
6.2579 -3.4495 13.9301
ATOMIC_POSITIONS crystal
Te 0.0164 0.0327 0.2500
Te 0.2168 0.4335 0.8737
Te 0.7832 0.5665 0.3737
Te 0.9836 0.9673 0.7500
Te 0.5000 0.0000 0.0000
Te 0.5000 0.0000 0.5000
Te 0.7832 0.5665 0.1263
Te 0.2168 0.4335 0.6263
Ac 0.8678 0.7356 0.9250
Ac 0.1322 0.2644 0.4250
Ac 0.1322 0.2644 0.0750
Ac 0.8678 0.7356 0.5750
Pm 0.3703 0.7407 0.2500
Pm 0.6297 0.2593 0.7500
! * SG: Cmcm, No. 63
! * formation energy without anion corrections: -1448.6 meV/atom
! * calculated total energy: -71.35 eV/cell
! * total magnetic moment: 0.00 μB/cell
! * energy relative to the lowest polymorph listed for this composition: 0.054 eV per atom

! MgV2B2 | Alexandria via LeMat-Bulk | GGA-PBE | relaxed; values from VASP
&SYSTEM
  ibrav = 0, nat = 5, ntyp = 3
/
ATOMIC_SPECIES
Mg 24.30 Mg.upf
V 50.94 V.upf
B 10.81 B.upf
CELL_PARAMETERS angstrom
3.9445 0.0000 0.0000
0.0000 3.9445 0.0000
1.9722 1.9722 4.1245
ATOMIC_POSITIONS crystal
Mg 0.0000 0.0000 0.0000
V 0.6762 0.6762 0.6476
V 0.3238 0.3238 0.3524
B 0.2500 0.7500 0.5000
B 0.7500 0.2500 0.5000
! * SG: I4/mmm, No. 139
! * calculated total energy: -32.50 eV/cell
! * total magnetic moment: 0.00 μB/cell
! * DFT formation energy: 0.7 eV/f.u.
! * energy relative to the lowest polymorph listed for this composition: 0.364 eV per atom

! CaLa2Si2 | Alexandria via LeMat-Bulk | GGA-PBE | relaxed; values from VASP
&SYSTEM
  ibrav = 0, nat = 5, ntyp = 3
/
ATOMIC_SPECIES
Si 28.09 Si.upf
La 138.91 La.upf
Ca 40.08 Ca.upf
CELL_PARAMETERS angstrom
-2.5959 2.6929 -2.7370
-3.8338 -2.0002 1.6682
-3.5135 4.8527 4.1825
ATOMIC_POSITIONS crystal
Si 0.4105 0.4105 0.1789
Si 0.5895 0.5895 0.8211
La 0.2500 0.7500 0.5000
La 0.7500 0.2500 0.5000
Ca 0.0000 0.0000 0.0000
! * SG: I4/mmm, No. 139
! * formation energy without anion corrections: -309.4 meV/atom
! * calculated total energy: -24.25 eV/cell
! * total magnetic moment: 0.00 μB/cell
! * energy relative to the lowest polymorph listed for this composition: 0.240 eV per atom

! Pr6SmDy4 | Alexandria via LeMat-Bulk | GGA-PBE | relaxed; values from VASP
&SYSTEM
  ibrav = 0, nat = 11, ntyp = 3
/
ATOMIC_SPECIES
Pr 140.91 Pr.upf
Dy 162.50 Dy.upf
Sm 150.36 Sm.upf
CELL_PARAMETERS angstrom
-3.3180 -6.2254 -7.1288
-0.5169 1.5916 9.8886
-1.9935 8.8822 4.2090
ATOMIC_POSITIONS crystal
Pr 0.6420 0.1846 0.1846
Pr 0.5000 0.0000 0.5000
Pr 0.5000 0.5000 0.0000
Pr 0.3580 0.5426 0.5426
Pr 0.0000 0.8154 0.4574
Pr 0.0000 0.4574 0.8154
Dy 0.0000 0.0097 0.6392
Dy 0.0000 0.6392 0.0097
Dy 0.3705 0.3608 0.3608
Dy 0.6295 0.9903 0.9903
Sm 0.0000 0.0000 0.0000
! * SG: I-42m, No. 121
! * calculated total energy: -48.68 eV/cell
! * total magnetic moment: 0.00 μB/cell
! * DFT formation energy: 3.1 eV/f.u.
! * energy relative to the lowest polymorph listed for this composition: 0.000 eV per atom